# 1
Li2ScHg2 (GGA-PBEsol, relaxed); total energy = -0.09780 Ha/atom; crystal system = tetragonal; relative energy among the computed polymorphs = 0.026 eV per atom
1.0
-1.280 3.065 -1.691
-1.980 0.851 3.041
6.956 1.626 1.790
Sc Hg Li
1 2 2
Cartesian
0.000 0.000 0.000
-0.497 2.721 1.199
4.193 2.822 1.940
1.673 2.218 2.753
2.023 3.325 0.387

# 2
LiScHg2 (GGA-PBEsol, relaxed); total energy = -0.10308 Ha/atom; crystal system = monoclinic; relative energy among the computed polymorphs = 0.113 eV per atom
1.0
-2.186 -0.703 -2.331
-2.670 -2.593 3.286
-1.007 4.855 1.776
Hg Sc Li
2 1 1
Cartesian
-2.937 1.119 0.120
-5.755 1.651 2.602
-3.213 0.276 2.930
-3.256 3.279 2.064

# 3
LiScHg2 (GGA-PBEsol, relaxed); total energy = -0.10604 Ha/atom; crystal system = tetragonal; relative energy among the computed polymorphs = 0.033 eV per atom
1.0
3.294 0.000 0.000
0.000 3.294 0.000
0.000 0.000 6.993
Li Hg Sc
1 2 1
Cartesian
1.647 1.647 0.000
0.000 0.000 5.384
0.000 0.000 1.609
1.647 1.647 3.496

# 4
Li2ScHg2 (GGA-PBEsol, relaxed); total energy = -0.09876 Ha/atom; crystal system = tetragonal; relative energy among the computed polymorphs = 0.000 eV per atom
1.0
-2.798 -1.135 0.918
1.913 -6.789 -2.568
2.898 -1.721 6.707
Sc Li Hg
2 4 4
Cartesian
0.000 0.000 0.000
2.405 -4.255 2.070
3.476 -7.062 1.862
3.296 -4.128 4.943
1.514 -4.382 -0.804
1.335 -1.448 2.278
0.939 -3.000 4.577
1.074 -6.645 0.480
-0.261 -3.026 0.888
2.273 -6.619 4.169